Computed, not measured: crystalline HfRe2As at its relaxed geometry at the PBE-GGA level of DFT.

Values from the calculation:
Formation energy from the elements   0.517 eV/atom
Final energy   -9.358 eV/atom

Unit cell a=5.9008 b=5.9008 c=5.9008 alpha=101.14 beta=101.14 gamma=127.86
With the nearest neighbours (Å) after each atom.
Atoms (fractional coordinates):
Hf 0.0000 0.0000 0.0000  2 As 2.59
Hf 0.7500 0.2500 0.5000  2 As 2.59
Re 0.1940 0.1250 0.5690  2 As 2.40
Re 0.3750 0.8060 0.9310  2 As 2.40
Re 0.5560 0.6250 0.4310  2 As 2.40
Re 0.8750 0.4440 0.0690  2 As 2.40
As 0.2500 0.7500 0.5000  4 Re 2.40, 2 Hf 2.59
As 0.5000 0.5000 0.0000  4 Re 2.40, 2 Hf 2.59


Computed, not measured: crystalline Hf9Re4As at its relaxed geometry at the PBE-GGA level of DFT.

Values from the calculation:
Formation energy from the elements   -0.412 eV/atom
Final energy   -10.699 eV/atom

Unit cell a=8.6097 b=8.6097 c=8.6244 alpha=90.00 beta=90.00 gamma=120.00
With the nearest neighbours (Å) after each atom.
Atoms (fractional coordinates):
Hf 0.0838 0.5419 0.2500  2 Re 2.90, 1 As 3.11, 6 Hf 3.22-3.24
Hf 0.1933 0.3865 0.5474  1 As 2.72, 2 Re 2.85-2.91, 2 Hf 3.00
Hf 0.1933 0.3865 0.9526  1 As 2.72, 2 Re 2.85-2.91, 2 Hf 3.00
Hf 0.1933 0.8067 0.5474  1 As 2.72, 2 Re 2.85-2.91, 2 Hf 3.00
Hf 0.1933 0.8067 0.9526  1 As 2.72, 2 Re 2.85-2.91, 2 Hf 3.00
Hf 0.3865 0.1933 0.0474  1 As 2.72, 2 Re 2.85-2.91, 2 Hf 3.00
Hf 0.3865 0.1933 0.4526  1 As 2.72, 2 Re 2.85-2.91, 2 Hf 3.00
Hf 0.4581 0.5419 0.2500  2 Re 2.90, 1 As 3.11, 6 Hf 3.22-3.24
Hf 0.4581 0.9162 0.2500  2 Re 2.90, 1 As 3.11, 6 Hf 3.22-3.24
Hf 0.5419 0.0838 0.7500  2 Re 2.90, 1 As 3.11, 6 Hf 3.22-3.24
Hf 0.5419 0.4581 0.7500  2 Re 2.90, 1 As 3.11, 6 Hf 3.22-3.24
Hf 0.6135 0.8067 0.5474  1 As 2.72, 2 Re 2.85-2.91, 2 Hf 3.00
Hf 0.6135 0.8067 0.9526  1 As 2.72, 2 Re 2.85-2.91, 2 Hf 3.00
Hf 0.8067 0.1933 0.0474  1 As 2.72, 2 Re 2.85-2.91, 2 Hf 3.00
Hf 0.8067 0.1933 0.4526  1 As 2.72, 2 Re 2.85-2.91, 2 Hf 3.00
Hf 0.8067 0.6135 0.0474  1 As 2.72, 2 Re 2.85-2.91, 2 Hf 3.00
Hf 0.8067 0.6135 0.4526  1 As 2.72, 2 Re 2.85-2.91, 2 Hf 3.00
Hf 0.9162 0.4581 0.7500  2 Re 2.90, 1 As 3.11, 6 Hf 3.22-3.24
Re 0.0000 0.0000 0.0000  6 Re 2.70, 6 Hf 2.91
Re 0.0000 0.0000 0.5000  6 Re 2.70, 6 Hf 2.91
Re 0.1095 0.2190 0.2500  4 Re 2.70-2.83, 4 Hf 2.85-2.90
Re 0.1095 0.8905 0.2500  4 Re 2.70-2.83, 4 Hf 2.85-2.90
Re 0.2190 0.1095 0.7500  4 Re 2.70-2.83, 4 Hf 2.85-2.90
Re 0.7810 0.8905 0.2500  4 Re 2.70-2.83, 4 Hf 2.85-2.90
Re 0.8905 0.1095 0.7500  4 Re 2.70-2.83, 4 Hf 2.85-2.90
Re 0.8905 0.7810 0.7500  4 Re 2.70-2.83, 4 Hf 2.85-2.90
As 0.3333 0.6667 0.7500  6 Hf 2.72
As 0.6667 0.3333 0.2500  6 Hf 2.72


Computed, not measured: crystalline Hf2ReAs2 at its relaxed geometry at the PBE-GGA level of DFT.

Values from the calculation:
Formation energy from the elements   -0.459 eV/atom
Final energy   -8.790 eV/atom

Unit cell a=6.9203 b=6.9203 c=3.6500 alpha=90.00 beta=90.00 gamma=90.00
With the nearest neighbours (Å) after each atom.
Atoms (fractional coordinates):
Hf 0.1552 0.3448 0.0000  6 As 2.65-2.79
Hf 0.3448 0.8448 0.0000  6 As 2.65-2.79
Hf 0.6552 0.1552 0.0000  6 As 2.65-2.79
Hf 0.8448 0.6552 0.0000  6 As 2.65-2.79
Re 0.0000 0.0000 0.5000  4 As 2.64
Re 0.5000 0.5000 0.5000  4 As 2.64
As 0.1491 0.6491 0.5000  2 Re 2.64, 6 Hf 2.65-2.79, 1 As 2.92
As 0.3509 0.1491 0.5000  2 Re 2.64, 6 Hf 2.65-2.79, 1 As 2.92
As 0.6491 0.8509 0.5000  2 Re 2.64, 6 Hf 2.65-2.79, 1 As 2.92
As 0.8509 0.3509 0.5000  2 Re 2.64, 6 Hf 2.65-2.79, 1 As 2.92


Computed, not measured: crystalline HfRe3As at its relaxed geometry at the PBE-GGA level of DFT.

Values from the calculation:
Formation energy from the elements   1.020 eV/atom
Excess energy over the best structure of this formula in the dataset   0.00 eV per formula unit
Final energy   -9.370 eV/atom

Unit cell a=4.5327 b=4.5327 c=4.5327 alpha=90.00 beta=90.00 gamma=90.00
With the nearest neighbours (Å) after each atom.
Atoms (fractional coordinates):
Hf 0.0000 0.0000 0.0000  12 Re 3.21
Re 0.0000 0.5000 0.5000  2 As 2.27
Re 0.5000 0.0000 0.5000  2 As 2.27
Re 0.5000 0.5000 0.0000  2 As 2.27
As 0.5000 0.5000 0.5000  6 Re 2.27


Computed, not measured: crystalline HfRe3As at its relaxed geometry at the PBE-GGA level of DFT.

Values from the calculation:
Formation energy from the elements   2.608 eV/atom
Excess energy over the best structure of this formula in the dataset   7.94 eV per formula unit
Final energy   -7.781 eV/atom

Unit cell a=4.8109 b=4.8109 c=4.8109 alpha=90.00 beta=90.00 gamma=90.00
With the nearest neighbours (Å) after each atom.
Atoms (fractional coordinates):
Hf 0.0000 0.0000 0.0000  6 Re 2.41
Re 0.0000 0.0000 0.5000  2 Hf 2.41
Re 0.0000 0.5000 0.0000  2 Hf 2.41
Re 0.5000 0.0000 0.0000  2 Hf 2.41
As 0.5000 0.5000 0.5000  12 Re 3.40


Computed, not measured: crystalline HfTa2ReAs at its relaxed geometry at the PBE-GGA level of DFT.

Values from the calculation:
Formation energy from the elements   2.176 eV/atom
Final energy   -7.976 eV/atom

Unit cell a=4.9244 b=4.9244 c=4.7676 alpha=90.00 beta=90.00 gamma=90.00
With the nearest neighbours (Å) after each atom.
Atoms (fractional coordinates):
Hf 0.0000 0.0000 0.0000  2 As 2.38, 4 Ta 2.46
Ta 0.0000 0.5000 0.0000  2 Hf 2.46
Ta 0.5000 0.0000 0.0000  2 Hf 2.46
Re 0.5000 0.5000 0.5000  8 Ta 3.43, 4 As 3.48
As 0.0000 0.0000 0.5000  2 Hf 2.38


Computed, not measured: crystalline HfReTc2As at its relaxed geometry at the PBE-GGA level of DFT.

Values from the calculation:
Formation energy from the elements   1.122 eV/atom
Final energy   -8.435 eV/atom

Unit cell a=4.7254 b=4.7254 c=4.6256 alpha=90.00 beta=90.00 gamma=90.00
With the nearest neighbours (Å) after each atom.
Atoms (fractional coordinates):
Hf 0.0000 0.0000 0.0000  8 Tc 3.31, 4 As 3.34
Re 0.5000 0.5000 0.5000  2 As 2.31, 4 Tc 2.36
Tc 0.0000 0.5000 0.5000  2 Re 2.36
Tc 0.5000 0.0000 0.5000  2 Re 2.36
As 0.5000 0.5000 0.0000  2 Re 2.31


Computed, not measured: crystalline HfRe2TcAs at its relaxed geometry at the PBE-GGA level of DFT.

Values from the calculation:
Formation energy from the elements   1.296 eV/atom
Final energy   -8.677 eV/atom

Unit cell a=4.7300 b=4.7300 c=4.5588 alpha=90.00 beta=90.00 gamma=90.00
With the nearest neighbours (Å) after each atom.
Atoms (fractional coordinates):
Hf 0.0000 0.0000 0.0000  8 Re 3.28, 4 As 3.34
Re 0.0000 0.5000 0.5000  2 Tc 2.37
Re 0.5000 0.0000 0.5000  2 Tc 2.37
Tc 0.5000 0.5000 0.5000  2 As 2.28, 4 Re 2.37
As 0.5000 0.5000 0.0000  2 Tc 2.28


no.,D(E_F) (states/eV/atom)
1,1.227
2,0.700
3,0.542
4,0.759
5,0.907
6,1.300
7,0.869
8,0.865